# 1
An optimized crystal structure of TlRe2Mo. Source: the Alexandria database, functional GGA-PBE.

Unit cell a=2.8970 b=2.8970 c=8.2056 alpha=90.00 beta=90.00 gamma=90.00
Closest atoms and distances in Å follow each position.
Space group P4mm (No. 99)
One atom of each set of equivalent atoms:
Tl 0.0000 0.0000 0.0000  4 Tl 2.90, 4 Re 3.07, 4 Mo 3.09
Re 0.0000 0.0000 0.5133  8 Re 2.66-2.90, 4 Mo 2.79
Re 0.5000 0.5000 0.7210  8 Re 2.66-2.90
Mo 0.5000 0.5000 0.2823  4 Re 2.79, 4 Mo 2.90, 4 Tl 3.09

Output
V ... 68.87 Å³ per cell
Calculated formation energy ... 0.482 eV per atom
Polymorph energy (0 for the lowest one) ... 0 meV/atom

***

# 2
An optimized crystal structure of Li10CaCu2. Source: the Alexandria database, functional GGA-PBE.

Unit cell a=5.2555 b=13.3989 c=13.9947 alpha=90.00 beta=90.00 gamma=90.00
Closest atoms and distances in Å follow each position.
Space group Fmmm (No. 69)
One atom of each set of equivalent atoms:
Li 0.0000 0.1158 0.1028  2 Cu 2.65, 6 Li 2.81-2.93
Li 0.0000 0.1857 0.3330  8 Li 2.81-3.14, 2 Cu 2.82
Li 0.2500 0.0000 0.2500  6 Li 2.63-2.89
Ca 0.0000 0.0000 0.5000  16 Li 3.37-3.74, 4 Cu 3.60
Cu 0.2500 0.2500 0.0000  2 Cu 2.63, 8 Li 2.65-2.82

Output
V ... 985.47 Å³ per cell
Calculated formation energy ... 0.003 eV per atom

***

# 3
An optimized crystal structure of Ca10Si3S3Cl2O24. Source: the Alexandria database, functional GGA-PBE.

Unit cell a=9.7936 b=6.8168 c=9.8796 alpha=90.00 beta=119.33 gamma=90.00
Closest atoms and distances in Å follow each position.
Space group Pm (No. 6)
One atom of each set of equivalent atoms:
Ca 0.0000 0.0000 0.0000  3 O 2.28
Ca 0.0040 0.5000 0.5404  5 O 2.39-2.44
Ca 0.2353 0.0000 0.5209  5 O 2.37-2.46
Ca 0.2457 0.5000 0.3123  2 O 2.24
Ca 0.3000 0.2405 0.9253  5 O 2.30-2.49
Ca 0.6294 0.2454 0.5912  6 O 2.38-2.64
Ca 0.7062 0.5000 0.0261  3 O 2.23-2.39
Ca 0.7520 0.0000 0.3211  3 O 2.23-2.36
Si 0.3593 0.5000 0.6939  4 O 1.64-1.67
Si 0.3809 0.0000 0.3049  4 O 1.64-1.65
Si 0.9342 0.0000 0.6584  4 O 1.64-1.66
S 0.0047 0.5000 0.9022  4 O 1.48-1.50
S 0.5552 0.5000 0.2387  4 O 1.48-1.50
S 0.6014 0.0000 0.8744  4 O 1.48-1.50
Cl 0.9687 0.2534 0.2676  6 Ca 2.98-3.30, 5 O 3.11-3.25
O 0.0554 0.3261 0.0052  1 S 1.48
O 0.0946 0.5000 0.8150  1 S 1.50
O 0.1157 0.0000 0.8000  1 Si 1.64
O 0.2428 0.3056 0.6398  1 Si 1.66
O 0.3000 0.0000 0.1151  1 Si 1.64
O 0.3350 0.1919 0.3766  1 Si 1.65
O 0.3792 0.5000 0.1494  1 S 1.50
O 0.4457 0.5000 0.8874  1 Si 1.67
O 0.4860 0.5000 0.6302  1 Si 1.64
O 0.4873 0.0000 0.9338  1 S 1.49
O 0.5141 0.0000 0.7002  1 S 1.50
O 0.5745 0.0000 0.4002  1 Si 1.65
O 0.6085 0.5000 0.4075  1 S 1.48
O 0.6140 0.3233 0.1943  1 S 1.49
O 0.7016 0.1772 0.9298  1 S 1.48
O 0.8219 0.0000 0.7411  1 Si 1.66
O 0.8335 0.5000 0.7947  1 S 1.48
O 0.8850 0.1956 0.5453  1 Si 1.65

Output
V ... 575.02 Å³ per cell
Energy relative to the elements, uncorrected ... -2628.5 meV/atom

***

# 4
An optimized crystal structure of Sc8C3Se4O. Source: the Alexandria database, functional GGA-PBE.

Unit cell a=6.9977 b=6.9977 c=18.3426 alpha=90.00 beta=90.00 gamma=120.00
Closest atoms and distances in Å follow each position.
Space group R-3m (No. 166, hexagonal axes)
One atom of each set of equivalent atoms:
Sc 0.0000 0.0000 0.2335  3 C 2.36
Sc 0.0086 0.5043 0.7676  2 C 2.33, 1 O 2.40
C 0.0000 0.5000 0.5000  6 Sc 2.33-2.36
Se 0.0000 0.0000 0.0000  6 Sc 2.70
Se 0.0000 0.5000 0.0000  6 Sc 2.73-2.76
O 0.0000 0.0000 0.5000  6 Sc 2.40

Output
V ... 777.88 Å³ per cell
Energy relative to the elements, uncorrected ... -1451.4 meV/atom

***

# 5
An optimized crystal structure of LaMg2Os. Source: the Alexandria database, functional GGA-PBE.

Unit cell a=3.2214 b=4.9754 c=10.4916 alpha=90.00 beta=90.00 gamma=90.00
Closest atoms and distances in Å follow each position.
Space group Cmmm (No. 65)
One atom of each set of equivalent atoms:
La 0.0000 0.0000 0.0000  6 La 2.96-3.22
Mg 0.0000 0.5000 0.2968  2 Os 2.67, 4 Mg 2.96
Os 0.0000 0.0000 0.5000  4 Mg 2.67, 4 Os 2.96

Output
V ... 168.16 Å³ per cell
Calculated formation energy ... 0.358 eV per atom

***

# 6
An optimized crystal structure of NdZrSb2. Source: the Alexandria database, functional GGA-PBE.

Unit cell a=4.2988 b=4.2988 c=21.3794 alpha=90.00 beta=90.00 gamma=120.00
Closest atoms and distances in Å follow each position.
Space group R-3m (No. 166, hexagonal axes)
One atom of each set of equivalent atoms:
Nd 0.0000 0.0000 0.0000  6 Sb 3.15
Zr 0.0000 0.0000 0.5000  6 Sb 2.96
Sb 0.0000 0.0000 0.2423  3 Zr 2.96, 3 Nd 3.15

Output
V ... 342.15 Å³ per cell
Energy relative to the elements, uncorrected ... -877.7 meV/atom
Polymorph energy (0 for the lowest one) ... 0 meV/atom

***

# 7
An optimized crystal structure of Dy4Sc5. Source: the Alexandria database, functional GGA-PBE.

Unit cell a=9.2561 b=9.2561 c=6.6441 alpha=90.00 beta=90.00 gamma=120.00
Closest atoms and distances in Å follow each position.
Space group P6_3/mcm (No. 193)
One atom of each set of equivalent atoms:
Dy 0.0000 0.0000 0.0000  2 Dy 3.32, 6 Sc 3.33
Dy 0.0000 0.3616 0.2500  5 Sc 3.02-3.35
Sc 0.0000 0.3120 0.7500  7 Dy 3.02-3.35
Sc 0.3333 0.6667 0.0000  8 Sc 3.32-3.60, 6 Dy 3.40

Output
V ... 492.98 Å³ per cell
Calculated formation energy ... 0.073 eV per atom

***

# 8
An optimized crystal structure of La4SbPbSe2. Source: the Alexandria database, functional GGA-PBE.

Unit cell a=7.7348 b=4.5180 c=7.8210 alpha=90.00 beta=109.69 gamma=90.00
Closest atoms and distances in Å follow each position.
Space group P2/m (No. 10)
One atom of each set of equivalent atoms:
La 0.2401 0.0000 0.2460  3 Se 3.14, 1 Sb 3.22, 2 Pb 3.22
La 0.2411 0.5000 0.7473  3 Se 3.14-3.15, 2 Sb 3.22, 1 Pb 3.22
Sb 0.5000 0.0000 0.0000  6 La 3.22
Pb 0.5000 0.5000 0.5000  6 La 3.22
Se 0.0000 0.0000 0.5000  6 La 3.14-3.15
Se 0.0000 0.5000 0.0000  6 La 3.14

Output
V ... 257.34 Å³ per cell
Energy relative to the elements, uncorrected ... -1461.6 meV/atom